Record 1
# Li4Sn2Hg3, relaxed, DFT PBE
# Polymorph energy (0 for the lowest one) ... 0.66 eV per formula unit
# Raw total energy ... -2.064 eV per atom
# Formation enthalpy at 0 K ... -0.22 eV/atom
data_Li4Sn2Hg3
_space_group_name_H-M_alt 'C m c e'
_space_group_IT_number 64
_space_group_name_Hall '-C 2ac 2'
_cell_length_a 6.232
_cell_length_b 14.709
_cell_length_c 8.225
_cell_angle_alpha 90.00
_cell_angle_beta 90.00
_cell_angle_gamma 90.00
loop_
_atom_site_label
_atom_site_type_symbol
_atom_site_fract_x
_atom_site_fract_y
_atom_site_fract_z
_atom_site_occupancy
Li1 Li 0.000 0.182 0.036 1
Li2 Li 0.250 0.032 0.750 1
Sn1 Sn 0.000 0.112 0.437 1
Hg1 Hg 0.000 0.000 0.000 1
Hg2 Hg 0.250 0.217 0.750 1

=====

Record 2
# Li2SnHg2, relaxed, DFT PBE
# Polymorph energy (0 for the lowest one) ... 0.64 eV per formula unit
# Raw total energy ... -1.849 eV per atom
# Formation enthalpy at 0 K ... -0.16 eV/atom
data_Li2SnHg2
_space_group_name_H-M_alt 'I 4/m m m'
_space_group_IT_number 139
_space_group_name_Hall '-I 4 2'
_cell_length_a 3.957
_cell_length_b 3.957
_cell_length_c 14.001
_cell_angle_alpha 90.00
_cell_angle_beta 90.00
_cell_angle_gamma 90.00
loop_
_atom_site_label
_atom_site_type_symbol
_atom_site_fract_x
_atom_site_fract_y
_atom_site_fract_z
_atom_site_occupancy
Li1 Li 0.000 0.500 0.250 1
Sn1 Sn 0.000 0.000 0.000 1
Hg1 Hg 0.000 0.000 0.385 1

=====

Record 3
# Li8Sn2Hg, relaxed, DFT PBE
# Raw total energy ... -2.473 eV per atom
# Formation enthalpy at 0 K ... -0.33 eV/atom
data_Li8Sn2Hg
_space_group_name_H-M_alt 'I m m m'
_space_group_IT_number 71
_space_group_name_Hall '-I 2 2'
_cell_length_a 4.749
_cell_length_b 6.316
_cell_length_c 14.019
_cell_angle_alpha 90.00
_cell_angle_beta 90.00
_cell_angle_gamma 90.00
loop_
_atom_site_label
_atom_site_type_symbol
_atom_site_fract_x
_atom_site_fract_y
_atom_site_fract_z
_atom_site_occupancy
Li1 Li 0.000 0.000 0.176 1
Li2 Li 0.000 0.234 0.343 1
Li3 Li 0.000 0.273 0.000 1
Sn1 Sn 0.000 0.500 0.179 1
Hg1 Hg 0.000 0.500 0.500 1

=====

Record 4
# LiSnHg4, relaxed, DFT PBE
# Polymorph energy (0 for the lowest one) ... 0.73 eV per formula unit
# Raw total energy ... -1.148 eV per atom
# Formation enthalpy at 0 K ... 0.04 eV/atom
data_LiSnHg4
_space_group_name_H-M_alt 'F -4 3 m'
_space_group_IT_number 216
_space_group_name_Hall 'F -4 2 3'
_cell_length_a 8.505
_cell_length_b 8.505
_cell_length_c 8.505
_cell_angle_alpha 90.00
_cell_angle_beta 90.00
_cell_angle_gamma 90.00
loop_
_atom_site_label
_atom_site_type_symbol
_atom_site_fract_x
_atom_site_fract_y
_atom_site_fract_z
_atom_site_occupancy
Li1 Li 0.000 0.000 0.000 1
Sn1 Sn 0.250 0.250 0.250 1
Hg1 Hg 0.125 0.125 0.625 1

=====

Record 5
# Li4Sn3Hg4, relaxed, DFT PBE
# Polymorph energy (0 for the lowest one) ... 0.25 eV per formula unit
# Raw total energy ... -2.073 eV per atom
# Formation enthalpy at 0 K ... -0.18 eV/atom
data_Li4Sn3Hg4
_space_group_name_H-M_alt 'I m m m'
_space_group_IT_number 71
_space_group_name_Hall '-I 2 2'
_cell_length_a 3.406
_cell_length_b 4.700
_cell_length_c 30.246
_cell_angle_alpha 90.00
_cell_angle_beta 90.00
_cell_angle_gamma 90.00
loop_
_atom_site_label
_atom_site_type_symbol
_atom_site_fract_x
_atom_site_fract_y
_atom_site_fract_z
_atom_site_occupancy
Li1 Li 0.000 0.000 0.046 1
Li2 Li 0.000 0.500 0.184 1
Sn1 Sn 0.000 0.000 0.500 1
Sn2 Sn 0.000 0.500 0.361 1
Hg1 Hg 0.000 0.000 0.232 1
Hg2 Hg 0.000 0.500 0.093 1

=====

Record 6
# LiSn3Hg6, relaxed, DFT PBE
# Raw total energy ... -1.602 eV per atom
# Formation enthalpy at 0 K ... -0.03 eV/atom
data_LiSn3Hg6
_space_group_name_H-M_alt 'P 1'
_space_group_IT_number 1
_cell_length_a 3.232
_cell_length_b 9.318
_cell_length_c 9.470
_cell_angle_alpha 78.99
_cell_angle_beta 89.72
_cell_angle_gamma 89.90
loop_
_space_group_symop_operation_xyz
'x,y,z'
loop_
_atom_site_label
_atom_site_type_symbol
_atom_site_fract_x
_atom_site_fract_y
_atom_site_fract_z
_atom_site_occupancy
Li1 Li 0.000 0.000 0.000 1
Sn1 Sn 0.004 0.442 0.233 1
Sn2 Sn 0.506 0.426 0.530 1
Sn3 Sn 0.998 0.701 0.602 1
Hg1 Hg 0.499 0.233 0.821 1
Hg2 Hg 0.500 0.180 0.158 1
Hg3 Hg 0.501 0.741 0.100 1
Hg4 Hg 0.505 0.914 0.772 1
Hg5 Hg 0.997 0.909 0.327 1
Hg6 Hg 0.999 0.520 0.900 1

=====

Record 7
# LiSnHg4, relaxed, DFT PBE
# Polymorph energy (0 for the lowest one) ... 0.17 eV per formula unit
# Raw total energy ... -1.241 eV per atom
# Formation enthalpy at 0 K ... -0.05 eV/atom
data_LiSnHg4
_space_group_name_H-M_alt 'C 1 2/m 1'
_space_group_IT_number 12
_cell_length_a 8.374
_cell_length_b 4.831
_cell_length_c 8.081
_cell_angle_alpha 90.00
_cell_angle_beta 105.54
_cell_angle_gamma 90.00
loop_
_space_group_symop_operation_xyz
'x,y,z'
'-x,-y,-z'
'-x,y,-z'
'x,-y,z'
'x+1/2,y+1/2,z'
'-x+1/2,-y+1/2,-z'
'-x+1/2,y+1/2,-z'
'x+1/2,-y+1/2,z'
loop_
_atom_site_label
_atom_site_type_symbol
_atom_site_fract_x
_atom_site_fract_y
_atom_site_fract_z
_atom_site_occupancy
Li1 Li 0.000 0.000 0.000 1
Sn1 Sn 0.000 0.500 0.500 1
Hg1 Hg 0.125 0.000 0.351 1
Hg2 Hg 0.140 0.500 0.904 1

=====

Record 8
# Li2Sn3Hg, relaxed, DFT PBE
# Raw total energy ... -2.844 eV per atom
# Formation enthalpy at 0 K ... -0.15 eV/atom
data_Li2Sn3Hg
_space_group_name_H-M_alt 'C 1 2/c 1'
_space_group_IT_number 15
_cell_length_a 6.839
_cell_length_b 7.684
_cell_length_c 10.816
_cell_angle_alpha 90.00
_cell_angle_beta 97.28
_cell_angle_gamma 90.00
loop_
_space_group_symop_operation_xyz
'x,y,z'
'-x,-y,-z'
'-x,y,-z+1/2'
'x,-y,z+1/2'
'x+1/2,y+1/2,z'
'-x+1/2,-y+1/2,-z'
'-x+1/2,y+1/2,-z+1/2'
'x+1/2,-y+1/2,z+1/2'
loop_
_atom_site_label
_atom_site_type_symbol
_atom_site_fract_x
_atom_site_fract_y
_atom_site_fract_z
_atom_site_occupancy
Li1 Li 0.132 0.238 0.138 1
Sn1 Sn 0.000 0.452 0.750 1
Sn2 Sn 0.249 0.443 0.508 1
Hg1 Hg 0.000 0.071 0.750 1

=====

Record 9
# Li2Sn2Hg7, relaxed, DFT PBE
# Raw total energy ... -1.349 eV per atom
# Formation enthalpy at 0 K ... -0.08 eV/atom
data_Li2Sn2Hg7
_space_group_name_H-M_alt 'C 1 2/m 1'
_space_group_IT_number 12
_cell_length_a 6.920
_cell_length_b 10.796
_cell_length_c 7.355
_cell_angle_alpha 90.00
_cell_angle_beta 98.75
_cell_angle_gamma 90.00
loop_
_space_group_symop_operation_xyz
'x,y,z'
'-x,-y,-z'
'-x,y,-z'
'x,-y,z'
'x+1/2,y+1/2,z'
'-x+1/2,-y+1/2,-z'
'-x+1/2,y+1/2,-z'
'x+1/2,-y+1/2,z'
loop_
_atom_site_label
_atom_site_type_symbol
_atom_site_fract_x
_atom_site_fract_y
_atom_site_fract_z
_atom_site_occupancy
Li1 Li 0.000 0.215 0.000 1
Sn1 Sn 0.187 0.500 0.928 1
Hg1 Hg 0.000 0.500 0.500 1
Hg2 Hg 0.063 0.000 0.699 1
Hg3 Hg 0.199 0.265 0.689 1

=====

Record 10
# Li2SnHg2, relaxed, DFT PBE
# Polymorph energy (0 for the lowest one) ... 0.00 eV per formula unit
# Raw total energy ... -1.977 eV per atom
# Formation enthalpy at 0 K ... -0.29 eV/atom
data_Li2SnHg2
_space_group_name_H-M_alt 'P 4/m b m'
_space_group_IT_number 127
_space_group_name_Hall '-P 4 2ab'
_cell_length_a 8.109
_cell_length_b 8.109
_cell_length_c 3.151
_cell_angle_alpha 90.00
_cell_angle_beta 90.00
_cell_angle_gamma 90.00
loop_
_atom_site_label
_atom_site_type_symbol
_atom_site_fract_x
_atom_site_fract_y
_atom_site_fract_z
_atom_site_occupancy
Li1 Li 0.163 0.337 0.000 1
Sn1 Sn 0.000 0.000 0.500 1
Hg1 Hg 0.135 0.635 0.500 1

=====

Record 11
# Li3SnHg, relaxed, DFT PBE
# Polymorph energy (0 for the lowest one) ... 1.78 eV per formula unit
# Raw total energy ... -1.986 eV per atom
# Formation enthalpy at 0 K ... 0.02 eV/atom
data_Li3SnHg
_space_group_name_H-M_alt 'P m -3 m'
_space_group_IT_number 221
_space_group_name_Hall '-P 4 2 3'
_cell_length_a 5.280
_cell_length_b 5.280
_cell_length_c 5.280
_cell_angle_alpha 90.00
_cell_angle_beta 90.00
_cell_angle_gamma 90.00
loop_
_atom_site_label
_atom_site_type_symbol
_atom_site_fract_x
_atom_site_fract_y
_atom_site_fract_z
_atom_site_occupancy
Li1 Li 0.000 0.000 0.500 1
Sn1 Sn 0.000 0.000 0.000 1
Hg1 Hg 0.500 0.500 0.500 1

=====

Record 12
# LiSn2Hg, relaxed, DFT PBE
# Raw total energy ... -2.689 eV per atom
# Formation enthalpy at 0 K ... -0.13 eV/atom
data_LiSn2Hg
_space_group_name_H-M_alt 'I 4/m m m'
_space_group_IT_number 139
_space_group_name_Hall '-I 4 2'
_cell_length_a 4.447
_cell_length_b 4.447
_cell_length_c 9.705
_cell_angle_alpha 90.00
_cell_angle_beta 90.00
_cell_angle_gamma 90.00
loop_
_atom_site_label
_atom_site_type_symbol
_atom_site_fract_x
_atom_site_fract_y
_atom_site_fract_z
_atom_site_occupancy
Li1 Li 0.000 0.000 0.000 1
Sn1 Sn 0.000 0.500 0.250 1
Hg1 Hg 0.000 0.000 0.500 1

=====

Record 13
# Li3Sn2Hg6, relaxed, DFT PBE
# Raw total energy ... -1.561 eV per atom
# Formation enthalpy at 0 K ... -0.15 eV/atom
data_Li3Sn2Hg6
_space_group_name_H-M_alt 'P -1'
_space_group_IT_number 2
_cell_length_a 4.695
_cell_length_b 4.700
_cell_length_c 11.651
_cell_angle_alpha 89.87
_cell_angle_beta 89.41
_cell_angle_gamma 88.64
loop_
_space_group_symop_operation_xyz
'x,y,z'
'-x,-y,-z'
loop_
_atom_site_label
_atom_site_type_symbol
_atom_site_fract_x
_atom_site_fract_y
_atom_site_fract_z
_atom_site_occupancy
Li1 Li 0.000 0.000 0.000 1
Li2 Li 0.001 0.997 0.714 1
Sn1 Sn 0.496 0.502 0.302 1
Hg1 Hg 0.002 0.502 0.129 1
Hg2 Hg 0.219 0.219 0.502 1
Hg3 Hg 0.500 0.003 0.129 1

=====

Record 14
# Li3Sn2Hg4, relaxed, DFT PBE
# Raw total energy ... -1.888 eV per atom
# Formation enthalpy at 0 K ... -0.23 eV/atom
data_Li3Sn2Hg4
_space_group_name_H-M_alt 'C 1 2/m 1'
_space_group_IT_number 12
_cell_length_a 8.263
_cell_length_b 4.971
_cell_length_c 9.619
_cell_angle_alpha 90.00
_cell_angle_beta 94.39
_cell_angle_gamma 90.00
loop_
_space_group_symop_operation_xyz
'x,y,z'
'-x,-y,-z'
'-x,y,-z'
'x,-y,z'
'x+1/2,y+1/2,z'
'-x+1/2,-y+1/2,-z'
'-x+1/2,y+1/2,-z'
'x+1/2,-y+1/2,z'
loop_
_atom_site_label
_atom_site_type_symbol
_atom_site_fract_x
_atom_site_fract_y
_atom_site_fract_z
_atom_site_occupancy
Li1 Li 0.000 0.000 0.000 1
Li2 Li 0.167 0.500 0.773 1
Sn1 Sn 0.165 0.500 0.426 1
Hg1 Hg 0.002 0.000 0.715 1
Hg2 Hg 0.170 0.500 0.081 1

=====

Record 15
# Li2SnHg2, relaxed, DFT PBE
# Polymorph energy (0 for the lowest one) ... 0.93 eV per formula unit
# Raw total energy ... -1.792 eV per atom
# Formation enthalpy at 0 K ... -0.10 eV/atom
data_Li2SnHg2
_space_group_name_H-M_alt 'I 4/m m m'
_space_group_IT_number 139
_space_group_name_Hall '-I 4 2'
_cell_length_a 4.222
_cell_length_b 4.222
_cell_length_c 12.488
_cell_angle_alpha 90.00
_cell_angle_beta 90.00
_cell_angle_gamma 90.00
loop_
_atom_site_label
_atom_site_type_symbol
_atom_site_fract_x
_atom_site_fract_y
_atom_site_fract_z
_atom_site_occupancy
Li1 Li 0.000 0.000 0.103 1
Sn1 Sn 0.000 0.000 0.500 1
Hg1 Hg 0.000 0.500 0.250 1

=====

Record 16
# Li4SnHg, relaxed, DFT PBE
# Polymorph energy (0 for the lowest one) ... 0.99 eV per formula unit
# Raw total energy ... -2.161 eV per atom
# Formation enthalpy at 0 K ... -0.17 eV/atom
data_Li4SnHg
_space_group_name_H-M_alt 'F -4 3 m'
_space_group_IT_number 216
_space_group_name_Hall 'F -4 2 3'
_cell_length_a 7.608
_cell_length_b 7.608
_cell_length_c 7.608
_cell_angle_alpha 90.00
_cell_angle_beta 90.00
_cell_angle_gamma 90.00
loop_
_atom_site_label
_atom_site_type_symbol
_atom_site_fract_x
_atom_site_fract_y
_atom_site_fract_z
_atom_site_occupancy
Li1 Li 0.124 0.124 0.376 1
Sn1 Sn 0.250 0.250 0.750 1
Hg1 Hg 0.000 0.000 0.000 1

=====

Record 17
# Li6SnHg3, relaxed, DFT PBE
# Polymorph energy (0 for the lowest one) ... 0.00 eV per formula unit
# Raw total energy ... -1.982 eV per atom
# Formation enthalpy at 0 K ... -0.34 eV/atom
data_Li6SnHg3
_space_group_name_H-M_alt 'P 1 21/m 1'
_space_group_IT_number 11
_cell_length_a 8.321
_cell_length_b 4.586
_cell_length_c 9.862
_cell_angle_alpha 90.00
_cell_angle_beta 103.13
_cell_angle_gamma 90.00
loop_
_space_group_symop_operation_xyz
'x,y,z'
'-x,-y,-z'
'-x,y+1/2,-z'
'x,-y+1/2,z'
loop_
_atom_site_label
_atom_site_type_symbol
_atom_site_fract_x
_atom_site_fract_y
_atom_site_fract_z
_atom_site_occupancy
Li1 Li 0.039 0.250 0.402 1
Li2 Li 0.136 0.750 0.195 1
Li3 Li 0.246 0.250 0.989 1
Li4 Li 0.344 0.750 0.800 1
Li5 Li 0.347 0.250 0.297 1
Li6 Li 0.441 0.250 0.601 1
Sn1 Sn 0.440 0.750 0.106 1
Hg1 Hg 0.038 0.750 0.893 1
Hg2 Hg 0.147 0.250 0.690 1
Hg3 Hg 0.266 0.750 0.491 1

=====

Record 18
# LiSn2Hg, relaxed, DFT PBE
# Raw total energy ... -2.541 eV per atom
# Formation enthalpy at 0 K ... 0.01 eV/atom
data_LiSn2Hg
_space_group_name_H-M_alt 'R -3 m'
_space_group_IT_number 166
_space_group_name_Hall '-R 3 2"'
_cell_length_a 4.8138
_cell_length_b 4.8138
_cell_length_c 21.4168
_cell_angle_alpha 90.00
_cell_angle_beta 90.00
_cell_angle_gamma 120.00
loop_
_atom_site_label
_atom_site_type_symbol
_atom_site_fract_x
_atom_site_fract_y
_atom_site_fract_z
_atom_site_occupancy
Li1 Li 0.0000 0.0000 0.0000 1
Sn1 Sn 0.0000 0.0000 0.3654 1
Hg1 Hg 0.0000 0.0000 0.5000 1

=====

Record 19
# LiSnHg14, relaxed, DFT PBE
# Raw total energy ... -0.642 eV per atom
# Formation enthalpy at 0 K ... -0.01 eV/atom
data_LiSnHg14
_space_group_name_H-M_alt 'P 1'
_space_group_IT_number 1
_cell_length_a 6.272
_cell_length_b 8.338
_cell_length_c 8.663
_cell_angle_alpha 90.00
_cell_angle_beta 90.00
_cell_angle_gamma 111.09
loop_
_space_group_symop_operation_xyz
'x,y,z'
loop_
_atom_site_label
_atom_site_type_symbol
_atom_site_fract_x
_atom_site_fract_y
_atom_site_fract_z
_atom_site_occupancy
Li1 Li 0.000 0.000 0.000 1
Sn1 Sn 0.422 0.851 0.000 1
Hg1 Hg 0.275 0.062 0.270 1
Hg2 Hg 0.275 0.063 0.729 1
Hg3 Hg 0.286 0.562 0.241 1
Hg4 Hg 0.292 0.562 0.759 1
Hg5 Hg 0.415 0.831 0.500 1
Hg6 Hg 0.427 0.328 0.000 1
Hg7 Hg 0.436 0.364 0.499 1
Hg8 Hg 0.781 0.061 0.732 1
Hg9 Hg 0.782 0.062 0.269 1
Hg10 Hg 0.834 0.665 0.170 1
Hg11 Hg 0.840 0.665 0.829 1
Hg12 Hg 0.875 0.751 0.499 1
Hg13 Hg 0.916 0.333 0.000 1
Hg14 Hg 0.923 0.368 0.501 1

=====

Record 20
# Li2SnHg6, relaxed, DFT PBE
# Raw total energy ... -1.212 eV per atom
# Formation enthalpy at 0 K ... -0.14 eV/atom
data_Li2SnHg6
_space_group_name_H-M_alt 'C 1 2/c 1'
_space_group_IT_number 15
_cell_length_a 13.844
_cell_length_b 11.080
_cell_length_c 5.567
_cell_angle_alpha 90.00
_cell_angle_beta 99.52
_cell_angle_gamma 90.00
loop_
_space_group_symop_operation_xyz
'x,y,z'
'-x,-y,-z'
'-x,y,-z+1/2'
'x,-y,z+1/2'
'x+1/2,y+1/2,z'
'-x+1/2,-y+1/2,-z'
'-x+1/2,y+1/2,-z+1/2'
'x+1/2,-y+1/2,z+1/2'
loop_
_atom_site_label
_atom_site_type_symbol
_atom_site_fract_x
_atom_site_fract_y
_atom_site_fract_z
_atom_site_occupancy
Li1 Li 0.163 0.117 0.082 1
Sn1 Sn 0.000 0.410 0.250 1
Hg1 Hg 0.049 0.130 0.517 1
Hg2 Hg 0.128 0.349 0.844 1
Hg3 Hg 0.232 0.385 0.390 1